<a>
SrScPO2 after structural relaxation, computed with PBE-GGA.

Computed properties:
The calculation puts the total moment at 1.674 μB/f.u. Its symmetry is No. 123.

Lattice parameters (Å, degrees): 4.2244 4.2244 5.1022 90.00 90.00 90.00
Closest atoms and distances in Å follow each position.
Sites, in units of the cell vectors:
Sr (0.0000, 0.0000, 0.0000)  4 P 2.99, 8 O 3.31
Sc (0.5000, 0.5000, 0.5000)  4 O 2.11
P (0.5000, 0.5000, 0.0000)  2 Sc 2.55
O (0.0000, 0.5000, 0.5000)  2 Sc 2.11
O (0.5000, 0.0000, 0.5000)  2 Sc 2.11


<b>
SrScPO2 after structural relaxation, computed with PBE-GGA.

Computed properties:
The calculation puts the total moment at 1.641 μB/f.u. Its symmetry is No. 123.

Lattice parameters (Å, degrees): 4.3290 4.3290 5.7281 90.00 90.00 90.00
Closest atoms and distances in Å follow each position.
Sites, in units of the cell vectors:
Sr (0.0000, 0.0000, 0.0000)  4 O 2.16
Sc (0.5000, 0.5000, 0.5000)  4 P 3.06
P (0.0000, 0.0000, 0.5000)  2 Sr 2.86, 4 Sc 3.06
O (0.0000, 0.5000, 0.0000)  2 Sr 2.16
O (0.5000, 0.0000, 0.0000)  2 Sr 2.16


Calculated relative energies: <a> 0.000; <b> 1.257, given in eV/atom